Record 1
SrLi2Dy2In2 | the Alexandria database | GGA-PBE | optimized geometry; E_form = -21 kJ/mol of atoms; total DFT energy (no corrections) = -3.11 eV per atom; ρ = 5.4 g cm⁻³
1.0
2.490 1.438 9.406
-2.490 1.438 9.406
0.000 -2.875 9.406
Sr Li Dy In
1 2 2 2
Direct
0.000 0.000 0.000
0.414 0.414 0.414
0.586 0.586 0.586
0.132 0.132 0.132
0.868 0.868 0.868
0.249 0.249 0.249
0.751 0.751 0.751

=====

Record 2
NaFeAgBr5 | the Alexandria database | GGA-PBE | optimized geometry; formation energy from raw total energies = -0.694 eV/atom; total DFT energy (no corrections) = -3.32 eV per atom; ρ = 3.7 g cm⁻³
1.0
5.008 -5.943 0.000
5.008 5.943 0.000
-3.483 0.000 8.807
Na Fe Ag Br
2 2 2 10
Direct
0.166 0.834 0.750
0.834 0.166 0.250
0.154 0.846 0.250
0.846 0.154 0.750
0.500 0.500 0.000
0.500 0.500 0.500
0.131 0.201 0.931
0.149 0.614 0.371
0.201 0.131 0.431
0.386 0.851 0.129
0.407 0.593 0.750
0.593 0.407 0.250
0.614 0.149 0.871
0.799 0.869 0.569
0.851 0.386 0.629
0.869 0.799 0.069

=====

Record 3
VSi3Ru | the Alexandria database | GGA-PBE | optimized geometry; formation energy from raw total energies = 0.765 eV/atom; total DFT energy (no corrections) = -6.17 eV per atom; ρ = 4.1 g cm⁻³
1.0
4.580 0.000 0.000
0.000 4.580 0.000
0.000 0.000 4.580
V Si Ru
1 3 1
Direct
0.000 0.000 0.000
0.000 0.500 0.500
0.500 0.000 0.500
0.500 0.500 0.000
0.500 0.500 0.500

=====

Record 4
La4Tm3ScSe8 | the Alexandria database | GGA-PBE | optimized geometry; formation energy from raw total energies = -1.825 eV/atom; total DFT energy (no corrections) = -6.03 eV per atom; ρ = 7.2 g cm⁻³
1.0
4.081 2.356 6.997
-4.081 2.356 6.997
0.000 -4.712 6.997
La Tm Sc Se
4 3 1 8
Direct
0.000 0.000 0.000
0.000 0.500 0.500
0.500 0.000 0.500
0.500 0.500 0.000
0.000 0.000 0.500
0.000 0.500 0.000
0.500 0.000 0.000
0.500 0.500 0.500
0.242 0.242 0.242
0.245 0.738 0.738
0.262 0.262 0.755
0.262 0.755 0.262
0.738 0.245 0.738
0.738 0.738 0.245
0.755 0.262 0.262
0.758 0.758 0.758

=====

Record 5
Mg2GeCBr | the Alexandria database | GGA-PBE | optimized geometry; formation energy from raw total energies = 1.255 eV/atom; total DFT energy (no corrections) = -2.49 eV per atom; ρ = 2.5 g cm⁻³
1.0
5.158 0.000 0.000
0.000 5.158 0.000
0.000 0.000 5.267
Mg Ge C Br
2 1 1 1
Direct
0.000 0.500 0.000
0.500 0.000 0.000
0.000 0.000 0.000
0.500 0.500 0.500
0.000 0.000 0.500

=====

Record 6
AcTl3 | the Alexandria database | GGA-PBE | optimized geometry; E_form = -23 kJ/mol of atoms; total DFT energy (no corrections) = -3.04 eV per atom; ρ = 11.0 g cm⁻³
1.0
-2.498 2.498 5.100
2.498 -2.498 5.100
2.498 2.498 -5.100
Ac Tl
1 3
Direct
0.000 0.000 0.000
0.250 0.750 0.500
0.500 0.500 0.000
0.750 0.250 0.500

=====

Record 7
Sm3MgFe | the Alexandria database | GGA-PBE | optimized geometry; E_form = 10 kJ/mol of atoms; total DFT energy (no corrections) = -4.74 eV per atom; ρ = 6.0 g cm⁻³
1.0
5.268 0.000 0.000
0.000 5.268 0.000
0.000 0.000 5.268
Sm Mg Fe
3 1 1
Direct
0.000 0.000 0.500
0.000 0.500 0.000
0.500 0.000 0.000
0.500 0.500 0.500
0.000 0.000 0.000

=====

Record 8
Zr4GaC2 | the Alexandria database | GGA-PBE | optimized geometry; E_form = -67 kJ/mol of atoms; total DFT energy (no corrections) = -8.65 eV per atom; ρ = 6.5 g cm⁻³
1.0
1.716 -5.705 0.000
1.716 5.705 0.000
0.000 0.000 11.912
Zr Ga C
8 2 4
Direct
0.000 0.000 0.000
0.000 0.000 0.500
0.262 0.738 0.606
0.262 0.738 0.894
0.424 0.576 0.250
0.576 0.424 0.750
0.738 0.262 0.106
0.738 0.262 0.394
0.110 0.890 0.250
0.890 0.110 0.750
0.364 0.636 0.060
0.364 0.636 0.440
0.636 0.364 0.560
0.636 0.364 0.940